No. 1
Here is a relaxed PuUCuNi crystal from the Alexandria database. Energies are from PBE.

crystal system: cubic
volume: 16.77 Å³ per atom
space-group type: No. 216
E: -8.950 eV/atom
formation energy: -7.3 kJ/mol of atoms

a = 4.561 Å, b = 4.561 Å, c = 4.561 Å
α = 60.00°, β = 60.00°, γ = 60.00°
Fractional coordinates of all 4 atoms:
Pu 0.000 0.000 0.000
U 0.750 0.750 0.750
Cu 0.250 0.250 0.250
Ni 0.500 0.500 0.500

=====

No. 2
Here is a relaxed YPuCuNi crystal from the Alexandria database. Energies are from PBE.

crystal system: cubic
volume: 20.19 Å³ per atom
space-group type: No. 216
E: -7.746 eV/atom
formation energy: -7.5 kJ/mol of atoms

a = 4.852 Å, b = 4.852 Å, c = 4.852 Å
α = 60.00°, β = 60.00°, γ = 60.00°
Fractional coordinates of all 4 atoms:
Y 0.000 0.000 0.000
Pu 0.500 0.500 0.500
Cu 0.750 0.750 0.750
Ni 0.250 0.250 0.250

=====

No. 3
Here is a relaxed RbCuNi3 crystal from the Alexandria database. Energies are from PBE.

crystal system: cubic
volume: 19.60 Å³ per atom
space-group type: No. 221
E above lowest polymorph: 1286 meV/atom
E: -2.190 eV/atom
formation energy: 221.1 kJ/mol of atoms

a = 4.610 Å, b = 4.610 Å, c = 4.610 Å
α = 90.00°, β = 90.00°, γ = 90.00°
Fractional coordinates of all 5 atoms:
Rb 0.000 0.000 0.000
Cu 0.500 0.500 0.500
Ni 0.000 0.000 0.500
Ni 0.000 0.500 0.000
Ni 0.500 0.000 0.000

=====

No. 4
Here is a relaxed RbCuNi3 crystal from the Alexandria database. Energies are from PBE.

crystal system: cubic
volume: 19.11 Å³ per atom
space-group type: No. 221
E above lowest polymorph: 0 meV/atom
E: -3.476 eV/atom
formation energy: 97.0 kJ/mol of atoms

a = 4.572 Å, b = 4.572 Å, c = 4.572 Å
α = 90.00°, β = 90.00°, γ = 90.00°
Fractional coordinates of all 5 atoms:
Rb 0.000 0.000 0.000
Cu 0.500 0.500 0.500
Ni 0.000 0.500 0.500
Ni 0.500 0.000 0.500
Ni 0.500 0.500 0.000

=====

No. 5
Here is a relaxed RbCuNi2 crystal from the Alexandria database. Energies are from PBE.

crystal system: cubic
volume: 16.76 Å³ per atom
space-group type: No. 225
E above lowest polymorph: 423 meV/atom
E: -3.011 eV/atom
formation energy: 110.6 kJ/mol of atoms

a = 4.560 Å, b = 4.560 Å, c = 4.560 Å
α = 60.00°, β = 60.00°, γ = 60.00°
Fractional coordinates of all 4 atoms:
Rb 0.000 0.000 0.000
Cu 0.500 0.500 0.500
Ni 0.250 0.250 0.250
Ni 0.750 0.750 0.750

=====

No. 6
Here is a relaxed Rb3CuNi crystal from the Alexandria database. Energies are from PBE.

crystal system: cubic
volume: 48.99 Å³ per atom
space-group type: No. 221
E above lowest polymorph: 0 meV/atom
E: -1.859 eV/atom
formation energy: 67.2 kJ/mol of atoms

a = 6.257 Å, b = 6.257 Å, c = 6.257 Å
α = 90.00°, β = 90.00°, γ = 90.00°
Fractional coordinates of all 5 atoms:
Rb 0.000 0.000 0.500
Rb 0.000 0.500 0.000
Rb 0.500 0.000 0.000
Cu 0.500 0.500 0.500
Ni 0.000 0.000 0.000

=====

No. 7
Here is a relaxed RbCu2Ni2 crystal from the Alexandria database. Energies are from PBE.

crystal system: tetragonal
volume: 16.02 Å³ per atom
space-group type: No. 127
E: -3.597 eV/atom
formation energy: 52.8 kJ/mol of atoms

a = 7.681 Å, b = 7.681 Å, c = 2.715 Å
α = 90.00°, β = 90.00°, γ = 90.00°
Fractional coordinates of all 10 atoms:
Rb 0.000 0.000 0.000
Rb 0.500 0.500 0.000
Cu 0.167 0.333 0.500
Cu 0.333 0.833 0.500
Cu 0.667 0.167 0.500
Cu 0.833 0.667 0.500
Ni 0.113 0.613 0.000
Ni 0.387 0.113 0.000
Ni 0.613 0.887 0.000
Ni 0.887 0.387 0.000

=====

No. 8
Here is a relaxed RbCuNi2 crystal from the Alexandria database. Energies are from PBE.

crystal system: tetragonal
volume: 23.51 Å³ per atom
space-group type: No. 141
E above lowest polymorph: 0 meV/atom
E: -3.433 eV/atom
formation energy: 69.8 kJ/mol of atoms

a = 8.923 Å, b = 8.923 Å, c = 8.923 Å
α = 148.98°, β = 148.98°, γ = 44.44°
Fractional coordinates of all 8 atoms:
Rb 0.375 0.625 0.750
Rb 0.625 0.375 0.250
Cu 0.125 0.875 0.250
Cu 0.875 0.125 0.750
Ni 0.000 0.000 0.000
Ni 0.000 0.000 0.500
Ni 0.000 0.500 0.000
Ni 0.500 0.000 0.500

=====

No. 9
Here is a relaxed Rb2CuNi crystal from the Alexandria database. Energies are from PBE.

crystal system: cubic
volume: 34.91 Å³ per atom
space-group type: No. 225
E: -2.116 eV/atom
formation energy: 80.8 kJ/mol of atoms

a = 5.824 Å, b = 5.824 Å, c = 5.824 Å
α = 60.00°, β = 60.00°, γ = 60.00°
Fractional coordinates of all 4 atoms:
Rb 0.250 0.250 0.250
Rb 0.750 0.750 0.750
Cu 0.000 0.000 0.000
Ni 0.500 0.500 0.500

=====

No. 10
Here is a relaxed RbCuNiSe2 crystal from the Alexandria database. Energies are from PBE.

crystal system: orthorhombic
ΔE_f (raw): -444 meV/atom
volume: 24.64 Å³ per atom
space-group type: No. 67
E: -4.007 eV/atom

a = 7.557 Å, b = 7.557 Å, c = 6.318 Å
α = 90.00°, β = 90.00°, γ = 136.93°
Fractional coordinates of all 10 atoms:
Rb 0.250 0.750 0.753
Rb 0.750 0.250 0.247
Cu 0.000 0.000 0.000
Cu 0.500 0.500 0.000
Ni 0.250 0.250 0.500
Ni 0.750 0.750 0.500
Se 0.101 0.899 0.286
Se 0.399 0.601 0.286
Se 0.601 0.399 0.714
Se 0.899 0.101 0.714

=====

No. 11
Here is a relaxed RbCu2SiNi crystal from the Alexandria database. Energies are from PBE.

crystal system: tetragonal
ΔE_f (raw): 1250 meV/atom
volume: 22.59 Å³ per atom
space-group type: No. 123
E: -2.823 eV/atom

a = 4.676 Å, b = 4.676 Å, c = 5.165 Å
α = 90.00°, β = 90.00°, γ = 90.00°
Fractional coordinates of all 5 atoms:
Rb 0.000 0.000 0.000
Cu 0.000 0.500 0.500
Cu 0.500 0.000 0.500
Si 0.500 0.500 0.000
Ni 0.000 0.000 0.500

=====

No. 12
Here is a relaxed RbTa2CuNi crystal from the Alexandria database. Energies are from PBE.

crystal system: tetragonal
volume: 25.38 Å³ per atom
space-group type: No. 123
E: -4.954 eV/atom
formation energy: 188.7 kJ/mol of atoms

a = 4.709 Å, b = 4.709 Å, c = 5.723 Å
α = 90.00°, β = 90.00°, γ = 90.00°
Fractional coordinates of all 5 atoms:
Rb 0.000 0.000 0.000
Ta 0.000 0.500 0.500
Ta 0.500 0.000 0.500
Cu 0.000 0.000 0.500
Ni 0.500 0.500 0.000

=====

No. 13
Here is a relaxed RbCuTc2Ni crystal from the Alexandria database. Energies are from PBE.

crystal system: tetragonal
volume: 25.20 Å³ per atom
space-group type: No. 123
E: -4.517 eV/atom
formation energy: 173.5 kJ/mol of atoms

a = 4.637 Å, b = 4.637 Å, c = 5.860 Å
α = 90.00°, β = 90.00°, γ = 90.00°
Fractional coordinates of all 5 atoms:
Rb 0.000 0.000 0.000
Cu 0.500 0.500 0.000
Tc 0.000 0.500 0.500
Tc 0.500 0.000 0.500
Ni 0.000 0.000 0.500

=====

No. 14
Here is a relaxed Rb2ZnCuNi crystal from the Alexandria database. Energies are from PBE.

crystal system: tetragonal
volume: 37.30 Å³ per atom
space-group type: No. 123
E: -2.004 eV/atom
formation energy: 59.2 kJ/mol of atoms

a = 6.412 Å, b = 6.412 Å, c = 4.535 Å
α = 90.00°, β = 90.00°, γ = 90.00°
Fractional coordinates of all 5 atoms:
Rb 0.000 0.500 0.000
Rb 0.500 0.000 0.000
Zn 0.000 0.000 0.500
Cu 0.500 0.500 0.000
Ni 0.500 0.500 0.500

=====

No. 15
Here is a relaxed CuRe2Ni crystal from the Alexandria database. Energies are from PBE.

crystal system: monoclinic
volume: 13.26 Å³ per atom
space-group type: No. 10
E above lowest polymorph: 99 meV/atom
E: -8.471 eV/atom
formation energy: 21.4 kJ/mol of atoms

a = 2.597 Å, b = 3.926 Å, c = 5.201 Å
α = 90.00°, β = 90.51°, γ = 90.00°
Fractional coordinates of all 4 atoms:
Cu 0.000 0.000 0.000
Re 0.486 0.500 0.255
Re 0.514 0.500 0.745
Ni 0.000 0.000 0.500

=====

No. 16
Here is a relaxed Cu2ReNi crystal from the Alexandria database. Energies are from PBE.

crystal system: tetragonal
volume: 12.42 Å³ per atom
space-group type: No. 119
E above lowest polymorph: 256 meV/atom
E: -6.271 eV/atom
formation energy: 32.3 kJ/mol of atoms

a = 4.378 Å, b = 4.378 Å, c = 4.378 Å
α = 128.72°, β = 128.72°, γ = 75.45°
Fractional coordinates of all 4 atoms:
Cu 0.000 0.000 0.000
Cu 0.750 0.250 0.500
Re 0.500 0.500 0.000
Ni 0.250 0.750 0.500

=====

No. 17
Here is a relaxed CuRe2Ni crystal from the Alexandria database. Energies are from PBE.

crystal system: trigonal
volume: 13.51 Å³ per atom
space-group type: No. 166
E above lowest polymorph: 120 meV/atom
E: -8.450 eV/atom
formation energy: 23.5 kJ/mol of atoms

a = 8.799 Å, b = 8.799 Å, c = 8.799 Å
α = 17.54°, β = 17.54°, γ = 17.54°
Fractional coordinates of all 4 atoms:
Cu 0.000 0.000 0.000
Re 0.248 0.248 0.248
Re 0.752 0.752 0.752
Ni 0.500 0.500 0.500

=====

No. 18
Here is a relaxed CuRe2Ni crystal from the Alexandria database. Energies are from PBE.

crystal system: tetragonal
volume: 13.25 Å³ per atom
space-group type: No. 139
E above lowest polymorph: 86 meV/atom
E: -8.485 eV/atom
formation energy: 20.2 kJ/mol of atoms

a = 4.716 Å, b = 4.716 Å, c = 4.716 Å
α = 134.23°, β = 134.23°, γ = 66.73°
Fractional coordinates of all 4 atoms:
Cu 0.000 0.000 0.000
Re 0.250 0.750 0.500
Re 0.750 0.250 0.500
Ni 0.500 0.500 0.000

=====

No. 19
Here is a relaxed Cu2ReNi crystal from the Alexandria database. Energies are from PBE.

crystal system: tetragonal
volume: 12.71 Å³ per atom
space-group type: No. 123
E above lowest polymorph: 319 meV/atom
E: -6.209 eV/atom
formation energy: 38.3 kJ/mol of atoms

a = 4.402 Å, b = 4.402 Å, c = 2.622 Å
α = 90.00°, β = 90.00°, γ = 90.00°
Fractional coordinates of all 4 atoms:
Cu 0.000 0.500 0.000
Cu 0.500 0.000 0.000
Re 0.000 0.000 0.500
Ni 0.500 0.500 0.500

=====

No. 20
Here is a relaxed Cu2ReNi crystal from the Alexandria database. Energies are from PBE.

crystal system: tetragonal
volume: 12.60 Å³ per atom
space-group type: No. 123
E above lowest polymorph: 363 meV/atom
E: -6.164 eV/atom
formation energy: 42.6 kJ/mol of atoms

a = 3.614 Å, b = 3.614 Å, c = 3.859 Å
α = 90.00°, β = 90.00°, γ = 90.00°
Fractional coordinates of all 4 atoms:
Cu 0.000 0.500 0.000
Cu 0.500 0.000 0.000
Re 0.000 0.000 0.500
Ni 0.500 0.500 0.500

=====

No. 21
Here is a relaxed Cu2ReNi crystal from the Alexandria database. Energies are from PBE.

crystal system: tetragonal
volume: 13.42 Å³ per atom
space-group type: No. 122
E above lowest polymorph: 733 meV/atom
E: -5.794 eV/atom
formation energy: 78.3 kJ/mol of atoms

a = 5.289 Å, b = 5.289 Å, c = 5.289 Å
α = 102.24°, β = 102.24°, γ = 125.16°
Fractional coordinates of all 8 atoms:
Cu 0.108 0.625 0.983
Cu 0.375 0.358 0.483
Cu 0.642 0.125 0.017
Cu 0.875 0.892 0.517
Re 0.250 0.750 0.500
Re 0.500 0.500 0.000
Ni 0.000 0.000 0.000
Ni 0.750 0.250 0.500

=====

No. 22
Here is a relaxed CuRe2Ni crystal from the Alexandria database. Energies are from PBE.

crystal system: cubic
volume: 13.54 Å³ per atom
space-group type: No. 216
E above lowest polymorph: 137 meV/atom
E: -8.433 eV/atom
formation energy: 25.2 kJ/mol of atoms

a = 4.246 Å, b = 4.246 Å, c = 4.246 Å
α = 60.00°, β = 60.00°, γ = 60.00°
Fractional coordinates of all 4 atoms:
Cu 0.000 0.000 0.000
Re 0.500 0.500 0.500
Re 0.750 0.750 0.750
Ni 0.250 0.250 0.250

=====

No. 23
Here is a relaxed Cu2ReNi crystal from the Alexandria database. Energies are from PBE.

crystal system: orthorhombic
volume: 12.62 Å³ per atom
space-group type: No. 65
E above lowest polymorph: 208 meV/atom
E: -6.319 eV/atom
formation energy: 27.6 kJ/mol of atoms

a = 4.703 Å, b = 4.703 Å, c = 2.514 Å
α = 90.00°, β = 90.00°, γ = 114.77°
Fractional coordinates of all 4 atoms:
Cu 0.000 0.500 0.000
Cu 0.500 0.000 0.000
Re 0.000 0.000 0.500
Ni 0.500 0.500 0.500

=====

No. 24
Here is a relaxed CuRe2Ni crystal from the Alexandria database. Energies are from PBE.

crystal system: monoclinic
volume: 13.47 Å³ per atom
space-group type: No. 12
E above lowest polymorph: 72 meV/atom
E: -8.498 eV/atom
formation energy: 18.8 kJ/mol of atoms

a = 4.641 Å, b = 4.641 Å, c = 4.617 Å
α = 99.69°, β = 99.69°, γ = 33.37°
Fractional coordinates of all 4 atoms:
Cu 0.000 0.000 0.000
Re 0.244 0.244 0.746
Re 0.756 0.756 0.254
Ni 0.500 0.500 0.500

=====

No. 25
Here is a relaxed CuRe2Ni crystal from the Alexandria database. Energies are from PBE.

crystal system: tetragonal
volume: 13.29 Å³ per atom
space-group type: No. 99
E above lowest polymorph: 48 meV/atom
E: -8.522 eV/atom
formation energy: 16.6 kJ/mol of atoms

a = 2.694 Å, b = 2.694 Å, c = 7.325 Å
α = 90.00°, β = 90.00°, γ = 90.00°
Fractional coordinates of all 4 atoms:
Cu 0.000 0.000 0.000
Re 0.000 0.000 0.467
Re 0.500 0.500 0.743
Ni 0.500 0.500 0.228

=====

No. 26
Here is a relaxed Cu2ReNi crystal from the Alexandria database. Energies are from PBE.

crystal system: monoclinic
volume: 12.55 Å³ per atom
space-group type: No. 10
E above lowest polymorph: 162 meV/atom
E: -6.366 eV/atom
formation energy: 23.1 kJ/mol of atoms

a = 2.516 Å, b = 4.266 Å, c = 4.702 Å
α = 90.00°, β = 95.83°, γ = 90.00°
Fractional coordinates of all 4 atoms:
Cu 0.168 0.000 0.254
Cu 0.832 0.000 0.746
Re 0.500 0.500 0.000
Ni 0.000 0.500 0.500

=====

No. 27
Here is a relaxed Cu2ReNi crystal from the Alexandria database. Energies are from PBE.

crystal system: tetragonal
volume: 12.47 Å³ per atom
space-group type: No. 99
E above lowest polymorph: 0 meV/atom
E: -6.527 eV/atom
formation energy: 7.5 kJ/mol of atoms

a = 2.618 Å, b = 2.618 Å, c = 7.277 Å
α = 90.00°, β = 90.00°, γ = 90.00°
Fractional coordinates of all 4 atoms:
Cu 0.000 0.000 0.000
Cu 0.500 0.500 0.243
Re 0.500 0.500 0.728
Ni 0.000 0.000 0.482

=====

No. 28
Here is a relaxed Cu2ReNi crystal from the Alexandria database. Energies are from PBE.

crystal system: monoclinic
volume: 12.51 Å³ per atom
space-group type: No. 12
E above lowest polymorph: 127 meV/atom
E: -6.401 eV/atom
formation energy: 19.8 kJ/mol of atoms

a = 4.547 Å, b = 4.547 Å, c = 4.544 Å
α = 98.93°, β = 98.93°, γ = 32.67°
Fractional coordinates of all 4 atoms:
Cu 0.248 0.248 0.244
Cu 0.752 0.752 0.756
Re 0.000 0.000 0.500
Ni 0.500 0.500 0.000

=====

No. 29
Here is a relaxed Cu2ReNi crystal from the Alexandria database. Energies are from PBE.

crystal system: orthorhombic
volume: 12.70 Å³ per atom
space-group type: No. 47
E above lowest polymorph: 193 meV/atom
E: -6.334 eV/atom
formation energy: 26.2 kJ/mol of atoms

a = 2.592 Å, b = 4.375 Å, c = 4.481 Å
α = 90.00°, β = 90.00°, γ = 90.00°
Fractional coordinates of all 4 atoms:
Cu 0.000 0.000 0.000
Cu 0.500 0.500 0.000
Re 0.000 0.500 0.500
Ni 0.500 0.000 0.500